# CeFe2RhO6 (PBE+U, relaxed)
data_CeFe2RhO6
_chemical_formula_sum 'Ce2 Fe4 Rh2 O12'
_space_group_name_H-M_alt 'P 1 21/c 1'
_space_group_IT_number 14
_space_group_name_Hall '-P 2ybc'
_cell_length_a 5.476
_cell_length_b 5.549
_cell_length_c 9.616
_cell_angle_alpha 90.00
_cell_angle_beta 124.51
_cell_angle_gamma 90.00
loop_
_atom_site_label
_atom_site_type_symbol
_atom_site_fract_x
_atom_site_fract_y
_atom_site_fract_z
Ce1 Ce 0.000 0.000 0.000
Fe1 Fe 0.243 0.029 0.731
Rh1 Rh 0.500 0.000 0.500
O1 O 0.134 0.154 0.456
O2 O 0.251 0.692 0.406
O3 O 0.402 0.116 0.272
# Density of states at the Fermi level = 12.598 states/eV/cell
# E = -142.1 eV for the cell shown
# Total magnetic moment = 13.95 Bohr magnetons per cell
# Calculated volume = 12.0 Å³/atom